No. 1
A plane-wave DFT calculation with GGA-PBE was carried out for crystalline La4Au3 at its relaxed geometry.

a = 5.9431 Å, b = 5.9431 Å, c = 6.2012 Å
α = 90.00°, β = 90.00°, γ = 120.00°
Closest atoms and distances in Å follow each position.
Fractional positions:
La 0.0000 0.0000 0.2415  2 La 3.00-3.21, 6 Au 3.33
La 0.0000 0.0000 0.7585  2 La 3.00-3.21, 6 Au 3.33
La 0.3333 0.6667 0.5000  9 La 3.43-3.79, 6 Au 3.54
La 0.6667 0.3333 0.5000  9 La 3.43-3.79, 6 Au 3.54
Au 0.0000 0.5000 0.0000  4 Au 2.97, 4 La 3.33
Au 0.5000 0.0000 0.0000  4 Au 2.97, 4 La 3.33
Au 0.5000 0.5000 0.0000  4 Au 2.97, 4 La 3.33

The energy of formation is -9.21 kcal/mol of atoms. As for the symmetry: P6/mmm (191). For the calculated volume, the calculation gives 27.10 A^3/atom. As for the density of states at the Fermi level: 7.2 states/eV/f.u.



No. 2
A plane-wave DFT calculation with GGA-PBE was carried out for crystalline Li7La3Au4 at its relaxed geometry.

a = 8.4536 Å, b = 8.4536 Å, c = 10.5656 Å
α = 123.53°, β = 123.53°, γ = 29.47°
Closest atoms and distances in Å follow each position.
Fractional positions:
Li 0.0000 0.0000 0.0000  2 Au 2.76
Li 0.1645 0.1645 0.9283  3 Au 2.78-2.93, 2 Li 2.93
Li 0.3240 0.3240 0.4948  4 Au 2.70-2.94, 1 Li 2.98
Li 0.4836 0.4836 0.1943  3 Au 2.64-2.71, 2 Li 2.93
Li 0.5164 0.5164 0.8057  3 Au 2.64-2.71, 2 Li 2.93
Li 0.6760 0.6760 0.5052  4 Au 2.70-2.94, 1 Li 2.98
Li 0.8355 0.8355 0.0717  3 Au 2.78-2.93, 2 Li 2.93
La 0.0000 0.0000 0.5000  6 Au 3.24, 4 Li 3.57
La 0.3001 0.3001 0.7800  4 Au 3.08-3.14, 5 Li 3.23-3.39
La 0.6999 0.6999 0.2200  4 Au 3.08-3.14, 5 Li 3.23-3.39
Au 0.1055 0.1055 0.3170  6 Li 2.70-2.94
Au 0.3437 0.3437 0.2459  5 Li 2.64-2.93
Au 0.6563 0.6563 0.7541  5 Li 2.64-2.93
Au 0.8945 0.8945 0.6829  6 Li 2.70-2.94

The energy of formation is -10.91 kcal/mol of atoms. As for the symmetry: C2/m (12). For the calculated volume, the calculation gives 21.78 A^3/atom. As for the density of states at the Fermi level: 7.2 states/eV/f.u.



Q: Which value of calculated volume does entry 2 give?
A: 21.78 A^3/atom